## GaSnSe4 (PBE)

Data for a relaxed structure of GaSnSe4.

Values from the calculation:
Formation energy (no corrections), eV/f.u.: -1.53

Geometry as CIF:
```
data_GaSnSe4
_symmetry_space_group_name_H-M 'C 1 2/m 1'
_symmetry_Int_Tables_number 12
_symmetry_space_group_name_Hall '-C 2y'
_cell_length_a 15.435
_cell_length_b 3.704
_cell_length_c 6.354
_cell_angle_alpha 90.00
_cell_angle_beta 113.55
_cell_angle_gamma 90.00
loop_
_atom_site_label
_atom_site_fract_x
_atom_site_fract_y
_atom_site_fract_z
_atom_site_occupancy
Ga1 0.000 0.000 0.000 1
Sn1 0.000 0.500 0.500 1
Se1 0.112 0.500 0.956 1
Se2 0.116 0.000 0.438 1
```

***

## LiGdAlZn (PBE)

Data for a relaxed structure of LiGdAlZn.

Values from the calculation:
Formation enthalpy at 0 K, eV/f.u.: -0.96

Geometry as CIF:
```
data_LiGdAlZn
_symmetry_space_group_name_H-M 'F -4 3 m'
_symmetry_Int_Tables_number 216
_symmetry_space_group_name_Hall 'F -4 2 3'
_cell_length_a 6.864
_cell_length_b 6.864
_cell_length_c 6.864
_cell_angle_alpha 90.00
_cell_angle_beta 90.00
_cell_angle_gamma 90.00
loop_
_atom_site_label
_atom_site_fract_x
_atom_site_fract_y
_atom_site_fract_z
_atom_site_occupancy
Li1 0.000 0.000 0.000 1
Gd1 0.000 0.000 0.500 1
Al1 0.250 0.250 0.250 1
Zn1 0.250 0.250 0.750 1
```

***

## Li2MgCdO (PBE)

Data for a relaxed structure of Li2MgCdO.

Values from the calculation:
Formation energy (no corrections), eV/f.u.: -4.93

Geometry as CIF:
```
data_Li2MgCdO
_symmetry_space_group_name_H-M 'P 4/m m m'
_symmetry_Int_Tables_number 123
_symmetry_space_group_name_Hall '-P 4 2'
_cell_length_a 4.279
_cell_length_b 4.279
_cell_length_c 4.073
_cell_angle_alpha 90.00
_cell_angle_beta 90.00
_cell_angle_gamma 90.00
loop_
_atom_site_label
_atom_site_fract_x
_atom_site_fract_y
_atom_site_fract_z
_atom_site_occupancy
Li1 0.000 0.500 0.000 1
Mg1 0.000 0.000 0.500 1
Cd1 0.500 0.500 0.500 1
O1 0.000 0.000 0.000 1
```